A plane-wave DFT calculation with GGA+U was carried out for a geometry-optimized Cu3WBr2F6 structure.

The structure belongs to space group C2/m (No. 12); the cell edges are 13.172, 6.359 and 5.032 Å and the angles 90.00°, 94.43° and 90.00°. The distinct sites, in fractional coordinates, are Cu at (0.000, 0.000, 0.000), Cu at (0.250, 0.250, 0.500), W at (0.000, 0.500, 0.500), Br at (0.181, 0.000, 0.186), F at (0.052, 0.274, 0.750) and F at (0.144, 0.500, 0.353).

As for the total energy: -105.19 eV for the cell shown. The value obtained for the size of the total moment is 0.256 μB per atom. The theoretical density is 5.12 g/cm³.